No. 1
# CaHfPt | Alexandria via LeMat-Bulk | PBE | relaxed
data_CaHfPt
_cell_length_a 4.6460
_cell_length_b 4.6460
_cell_length_c 7.0501
_cell_angle_alpha 90.00
_cell_angle_beta 90.00
_cell_angle_gamma 90.00
_symmetry_space_group_name_H-M 'P 4/n m m'
_symmetry_Int_Tables_number 129
loop_
_symmetry_equiv_pos_as_xyz
'x,y,z'
'-x,-y,-z'
'-y+1/2,x,z'
'y+1/2,-x,-z'
'-x+1/2,-y+1/2,z'
'x+1/2,y+1/2,-z'
'y,-x+1/2,z'
'-y,x+1/2,-z'
'x+1/2,-y,-z'
'-x+1/2,y,z'
'-y,-x,-z'
'y,x,z'
'-x,y+1/2,-z'
'x,-y+1/2,z'
'y+1/2,x+1/2,-z'
'-y+1/2,-x+1/2,z'
loop_
_atom_site_label
_atom_site_type_symbol
_atom_site_fract_x
_atom_site_fract_y
_atom_site_fract_z
Ca1 Ca 0.2500 0.2500 0.1289
Hf1 Hf 0.2500 0.7500 0.5000
Pt1 Pt 0.2500 0.2500 0.6886
# Excess energy over the best structure of this formula in the dataset, eV/atom: 0.000
# Size of the total moment, μB per formula unit: 0.0
# Energy of formation from the pure elements, eV/atom: -0.795

***

No. 2
# Zr2CrCl | Alexandria via LeMat-Bulk | PBE | relaxed
data_Zr2CrCl
_cell_length_a 3.7724
_cell_length_b 3.7724
_cell_length_c 10.5091
_cell_angle_alpha 90.00
_cell_angle_beta 90.00
_cell_angle_gamma 90.00
_symmetry_space_group_name_H-M 'I -4 m 2'
_symmetry_Int_Tables_number 119
_symmetry_space_group_name_Hall 'I -4 -2'
loop_
_atom_site_label
_atom_site_type_symbol
_atom_site_fract_x
_atom_site_fract_y
_atom_site_fract_z
Zr1 Zr 0.0000 0.0000 0.0000
Zr2 Zr 0.0000 0.5000 0.2500
Cr1 Cr 0.0000 0.0000 0.5000
Cl1 Cl 0.0000 0.5000 0.7500
# Excess energy over the best structure of this formula in the dataset, eV/atom: 0.660
# Size of the total moment, μB per formula unit: 1.3
# Formation energy without anion corrections, eV per atom: 0.259

***

No. 3
# B2AsSe6 | Alexandria via LeMat-Bulk | PBE | relaxed
data_B2AsSe6
_cell_length_a 14.9400
_cell_length_b 11.8700
_cell_length_c 6.2132
_cell_angle_alpha 90.00
_cell_angle_beta 104.73
_cell_angle_gamma 90.00
_symmetry_space_group_name_H-M 'C 1 2/c 1'
_symmetry_Int_Tables_number 15
loop_
_symmetry_equiv_pos_as_xyz
'x,y,z'
'-x,-y,-z'
'-x,y,-z+1/2'
'x,-y,z+1/2'
'x+1/2,y+1/2,z'
'-x+1/2,-y+1/2,-z'
'-x+1/2,y+1/2,-z+1/2'
'x+1/2,-y+1/2,z+1/2'
loop_
_atom_site_label
_atom_site_type_symbol
_atom_site_fract_x
_atom_site_fract_y
_atom_site_fract_z
B1 B 0.2390 0.0627 0.2645
As1 As 0.0000 0.0708 0.7500
Se1 Se 0.0970 0.0884 0.1930
Se2 Se 0.1982 0.4496 0.9961
Se3 Se 0.2147 0.2745 0.6449
# Size of the total moment, μB per formula unit: 0.0
# Formation energy without anion corrections, eV per atom: 0.010